Entry 1:
First-principles (GGA-PBE) data for an optimized crystal structure of ZnBr, as listed in Alexandria.

Computed properties:
D(E_F) ... 4.89 states/eV/cell
Calculated volume ... 217.1 Å³/cell
Magnetic moment ... 0.00 μB per atom
Raw formation energy ... 0.3 kcal/mol of atoms

abc: 4.4369 4.4369 12.7354
angles: 90.00 90.00 120.00
Closest atoms and distances in Å follow each position.
Fractional coordinates of all 8 atoms:
Br  0.3333  0.6667  0.1129  6 Zn 3.10
Br  0.6667  0.3333  0.6129  6 Zn 3.10
Br  0.3333  0.6667  0.3871  6 Zn 3.10
Br  0.6667  0.3333  0.8871  6 Zn 3.10
Zn  0.0000  0.0000  0.7500  3 Zn 2.56
Zn  0.3333  0.6667  0.7500  3 Zn 2.56
Zn  0.0000  0.0000  0.2500  3 Zn 2.56
Zn  0.6667  0.3333  0.2500  3 Zn 2.56

---

Entry 2:
First-principles (GGA-PBE) data for an optimized crystal structure of SrCr2Ni, as listed in Alexandria.

Computed properties:
D(E_F) ... 5.74 states/eV/cell
Calculated volume ... 68.6 Å³/cell
Magnetic moment ... 0.79 μB per atom
ΔE to the lowest computed polymorph ... 778.6 meV/atom
Formation energy from the elements ... 4.7 eV/f.u.

abc: 5.6221 5.6221 5.6221
angles: 141.42 141.42 55.70
Closest atoms and distances in Å follow each position.
Fractional coordinates of all 4 atoms:
Sr  0.7500  0.2500  0.5000  4 Ni 2.63
Cr  0.0000  0.0000  0.0000  4 Cr 2.63
Cr  0.5000  0.5000  0.0000  4 Cr 2.63
Ni  0.2500  0.7500  0.5000  4 Sr 2.63

---

Entry 3:
First-principles (GGA-PBE) data for an optimized crystal structure of Ni2PtAuCl, as listed in Alexandria.

Computed properties:
D(E_F) ... 1.70 states/eV/cell
Calculated volume ... 81.0 Å³/cell
Magnetic moment ... 0.00 μB per atom
Raw formation energy ... 17.4 kcal/mol of atoms

abc: 4.1054 4.8075 4.1054
angles: 90.00 90.00 90.00
Closest atoms and distances in Å follow each position.
Fractional coordinates of all 5 atoms:
Ni  0.5000  0.0000  0.0000  2 Cl 2.05
Ni  0.0000  0.0000  0.5000  2 Cl 2.05
Pt  0.5000  0.5000  0.5000  4 Au 2.90, 8 Ni 3.16
Au  0.0000  0.5000  0.0000  2 Cl 2.40
Cl  0.0000  0.0000  0.0000  4 Ni 2.05

---

Entry 4:
First-principles (GGA-PBE) data for an optimized crystal structure of Ce7TlSb2, as listed in Alexandria.

Computed properties:
D(E_F) ... 37.75 states/eV/cell
Calculated volume ... 360.0 Å³/cell
Magnetic moment ... 0.90 μB per atom
Raw formation energy ... 0.4 kcal/mol of atoms

abc: 5.5696 8.7462 8.7462
angles: 122.34 90.00 90.00
Closest atoms and distances in Å follow each position.
Fractional coordinates of all 10 atoms:
Ce  0.5000  0.2742  0.0512  1 Ce 2.74
Ce  0.0000  0.7799  0.2201  2 Sb 3.05, 1 Tl 3.37
Ce  0.5000  0.9488  0.7258  1 Ce 2.74
Ce  0.5000  0.0512  0.2742  1 Ce 2.74
Ce  0.0000  0.2201  0.7799  2 Sb 3.05, 1 Tl 3.37
Ce  0.5000  0.7258  0.9488  1 Ce 2.74
Ce  0.5000  0.5000  0.5000  2 Sb 3.05, 4 Ce 3.32
Sb  0.5000  0.3007  0.6993  7 Ce 3.05-3.21
Sb  0.5000  0.6993  0.3007  7 Ce 3.05-3.21
Tl  0.0000  0.0000  0.0000  10 Ce 3.37-3.54